Entry from Alexandria: MnCdGa2 after structural relaxation (PBE).

Values from the calculation:
As for the total magnetization: 0.864 μB per atom. The value obtained for the electronic total energy is -3.942 eV per atom. The value obtained for the formation energy is 0.09 eV/atom. As for the density of states at the Fermi level: 1.65 states/eV/cell.

a = 4.1003 Å, b = 4.1003 Å, c = 4.0700 Å
α = 90.00°, β = 90.00°, γ = 90.00°
Closest atoms and distances in Å follow each position.
Space group P4/mmm (No. 123)
Unique sites:
Mn: 0.0000 0.0000 0.0000 (multiplicity 1)  8 Ga 2.89, 4 Cd 2.90
Cd: 0.5000 0.5000 0.0000 (multiplicity 1)  8 Ga 2.89, 4 Mn 2.90
Ga: 0.0000 0.5000 0.5000 (multiplicity 2)  4 Cd 2.89, 4 Mn 2.89, 4 Ga 2.90